Entry 1:
MnHgPb2 | PBE | relaxed

For the raw total energy, the calculation gives -3.9551 eV per atom. The density of states at the Fermi level comes out at 2.37 states/eV/f.u. The calculation puts the volume at 101 Å³/f.u. For the formation energy from the elements, the calculation gives 267 meV per atom.

The space group is Pm (No. 6) and the conventional cell measures 3.716, 4.615 and 6.146 Å, with angles of 90.00, 107.37 and 90.00 degrees. The asymmetric unit holds Mn at (0.000, 0.000, 0.000), Hg at (0.853, 0.500, 0.704), Pb at (0.259, 0.000, 0.519) and Pb at (0.574, 0.500, 0.147).

=====

Entry 2:
MnHgPb2 | PBE | relaxed

For the raw total energy, the calculation gives -3.8894 eV per atom. The density of states at the Fermi level comes out at 2.18 states/eV/f.u. The calculation puts the volume at 101 Å³/f.u. For the formation energy from the elements, the calculation gives 333 meV per atom.

The space group is I4/mmm (No. 139) and the conventional cell measures 4.682, 4.682 and 9.257 Å, with angles of 90.00, 90.00 and 90.00 degrees. The asymmetric unit holds Mn at (0.000, 0.000, 0.000), Hg at (0.000, 0.000, 0.500) and Pb at (0.000, 0.500, 0.250).

=====

Entry 3:
MnHg2Pb | PBE | relaxed

For the raw total energy, the calculation gives -3.1426 eV per atom. The density of states at the Fermi level comes out at 2.07 states/eV/f.u. The calculation puts the volume at 93 Å³/f.u. For the formation energy from the elements, the calculation gives 228 meV per atom.

The space group is P4/mmm (No. 123) and the conventional cell measures 3.283, 3.283 and 8.633 Å, with angles of 90.00, 90.00 and 90.00 degrees. The asymmetric unit holds Mn at (0.000, 0.000, 0.000), Hg at (0.500, 0.500, 0.204) and Pb at (0.000, 0.000, 0.500).